The following is a PBE-GGA calculation of a geometry-optimized AcTb8Sm5 structure, from the Alexandria database.

a = 17.4315 Å, b = 3.5782 Å, c = 15.1001 Å
α = 90.00°, β = 90.24°, γ = 90.00°
Space group Cm (No. 8)
Asymmetric unit:
Ac1 0.0000 0.0000 0.0000 x2
Tb1 0.0564 0.0000 0.2214 x2
Tb2 0.0928 0.0000 0.6364 x2
Tb3 0.1797 0.5000 0.0672 x2
Tb4 0.2218 0.5000 0.2806 x2
Tb5 0.2817 0.5000 0.6937 x2
Tb6 0.3567 0.0000 0.1464 x2
Tb7 0.4252 0.0000 0.5690 x2
Tb8 0.4635 0.0000 0.7863 x2
Sm1 0.0740 0.5000 0.4286 x2
Sm2 0.1586 0.0000 0.8516 x2
Sm3 0.2479 0.0000 0.4812 x2
Sm4 0.3227 0.5000 0.9227 x2
Sm5 0.4008 0.5000 0.3650 x2

Results
E_tot, eV per atom: -4.564
ρ, Mg/m³: 7.93
Total magnetization, μB per formula unit: 0.00
Energy relative to the elements, eV per atom: 0.060